Entry 1:
# TaBeI2N, optimized geometry, DFT GGA-PBE
data_TaBeI2N
_space_group_name_H-M_alt 'P 1'
_space_group_IT_number 1
_cell_length_a 5.381
_cell_length_b 5.381
_cell_length_c 3.241
_cell_angle_alpha 90.00
_cell_angle_beta 90.00
_cell_angle_gamma 90.00
loop_
_space_group_symop_operation_xyz
'x,y,z'
loop_
_atom_site_label
_atom_site_type_symbol
_atom_site_fract_x
_atom_site_fract_y
_atom_site_fract_z
Ta1 Ta 0.000 0.000 0.000
Be1 Be 0.500 0.500 0.500
I1 I 0.000 0.500 0.500
I2 I 0.500 0.000 0.500
N1 N 0.500 0.500 0.000
# **Energy above the lowest structure with this stoichiometry**: 0.325 eV per atom

Entry 2:
# TaBeI2N, optimized geometry, DFT GGA-PBE
data_TaBeI2N
_space_group_name_H-M_alt 'P 1'
_space_group_IT_number 1
_cell_length_a 5.677
_cell_length_b 5.677
_cell_length_c 3.915
_cell_angle_alpha 90.00
_cell_angle_beta 90.00
_cell_angle_gamma 90.00
loop_
_space_group_symop_operation_xyz
'x,y,z'
loop_
_atom_site_label
_atom_site_type_symbol
_atom_site_fract_x
_atom_site_fract_y
_atom_site_fract_z
Ta1 Ta 0.000 0.000 0.000
Be1 Be 0.500 0.500 0.500
I1 I 0.000 0.500 0.000
I2 I 0.500 0.000 0.000
N1 N 0.000 0.000 0.500
# **Energy above the lowest structure with this stoichiometry**: 0.000 eV per atom

Entry 3:
# BeTlIN2, optimized geometry, DFT GGA-PBE
data_BeTlIN2
_space_group_name_H-M_alt 'P 1'
_space_group_IT_number 1
_cell_length_a 4.180
_cell_length_b 4.180
_cell_length_c 7.810
_cell_angle_alpha 90.00
_cell_angle_beta 90.00
_cell_angle_gamma 90.00
loop_
_space_group_symop_operation_xyz
'x,y,z'
loop_
_atom_site_label
_atom_site_type_symbol
_atom_site_fract_x
_atom_site_fract_y
_atom_site_fract_z
Be1 Be 0.000 0.000 0.000
Tl1 Tl 0.500 0.500 0.500
I1 I 0.500 0.500 0.000
N1 N 0.000 0.500 0.500
N2 N 0.500 0.000 0.500
# **Energy above the lowest structure with this stoichiometry**: 0.615 eV per atom

Entry 4:
# BeTlIN2, optimized geometry, DFT GGA-PBE
data_BeTlIN2
_space_group_name_H-M_alt 'P 1'
_space_group_IT_number 1
_cell_length_a 4.273
_cell_length_b 4.273
_cell_length_c 5.349
_cell_angle_alpha 90.00
_cell_angle_beta 90.00
_cell_angle_gamma 90.00
loop_
_space_group_symop_operation_xyz
'x,y,z'
loop_
_atom_site_label
_atom_site_type_symbol
_atom_site_fract_x
_atom_site_fract_y
_atom_site_fract_z
Be1 Be 0.000 0.000 0.000
Tl1 Tl 0.500 0.500 0.500
I1 I 0.000 0.000 0.500
N1 N 0.000 0.500 0.000
N2 N 0.500 0.000 0.000
# **Energy above the lowest structure with this stoichiometry**: 0.000 eV per atom

Entry 5:
# BeWIN2, optimized geometry, DFT GGA-PBE
data_BeWIN2
_space_group_name_H-M_alt 'P 1'
_space_group_IT_number 1
_cell_length_a 3.788
_cell_length_b 3.788
_cell_length_c 4.722
_cell_angle_alpha 90.00
_cell_angle_beta 90.00
_cell_angle_gamma 90.00
loop_
_space_group_symop_operation_xyz
'x,y,z'
loop_
_atom_site_label
_atom_site_type_symbol
_atom_site_fract_x
_atom_site_fract_y
_atom_site_fract_z
Be1 Be 0.000 0.000 0.000
W1 W 0.500 0.500 0.500
I1 I 0.000 0.000 0.500
N1 N 0.000 0.500 0.000
N2 N 0.500 0.000 0.000
# **Energy above the lowest structure with this stoichiometry**: 1.218 eV per atom

Entry 6:
# BeWI2N, optimized geometry, DFT GGA-PBE
data_BeWI2N
_space_group_name_H-M_alt 'P 1'
_space_group_IT_number 1
_cell_length_a 5.352
_cell_length_b 5.352
_cell_length_c 3.212
_cell_angle_alpha 90.00
_cell_angle_beta 90.00
_cell_angle_gamma 90.00
loop_
_space_group_symop_operation_xyz
'x,y,z'
loop_
_atom_site_label
_atom_site_type_symbol
_atom_site_fract_x
_atom_site_fract_y
_atom_site_fract_z
Be1 Be 0.000 0.000 0.000
W1 W 0.500 0.500 0.500
I1 I 0.000 0.500 0.000
I2 I 0.500 0.000 0.000
N1 N 0.000 0.000 0.500
# **Energy above the lowest structure with this stoichiometry**: 0.373 eV per atom

Entry 7:
# BeWIN2, optimized geometry, DFT GGA-PBE
data_BeWIN2
_space_group_name_H-M_alt 'P 1'
_space_group_IT_number 1
_cell_length_a 3.904
_cell_length_b 3.904
_cell_length_c 5.879
_cell_angle_alpha 90.00
_cell_angle_beta 90.00
_cell_angle_gamma 90.00
loop_
_space_group_symop_operation_xyz
'x,y,z'
loop_
_atom_site_label
_atom_site_type_symbol
_atom_site_fract_x
_atom_site_fract_y
_atom_site_fract_z
Be1 Be 0.000 0.000 0.000
W1 W 0.500 0.500 0.500
I1 I 0.500 0.500 0.000
N1 N 0.000 0.500 0.500
N2 N 0.500 0.000 0.500
# **Energy above the lowest structure with this stoichiometry**: 0.000 eV per atom

Entry 8:
# BeWI2N, optimized geometry, DFT GGA-PBE
data_BeWI2N
_space_group_name_H-M_alt 'P 1'
_space_group_IT_number 1
_cell_length_a 5.604
_cell_length_b 5.604
_cell_length_c 3.837
_cell_angle_alpha 90.00
_cell_angle_beta 90.00
_cell_angle_gamma 90.00
loop_
_space_group_symop_operation_xyz
'x,y,z'
loop_
_atom_site_label
_atom_site_type_symbol
_atom_site_fract_x
_atom_site_fract_y
_atom_site_fract_z
Be1 Be 0.000 0.000 0.000
W1 W 0.500 0.500 0.500
I1 I 0.000 0.500 0.500
I2 I 0.500 0.000 0.500
N1 N 0.500 0.500 0.000
# **Energy above the lowest structure with this stoichiometry**: 0.000 eV per atom

Entry 9:
## Y2BeIN (GGA-PBE)

Data for a relaxed Y2BeIN crystal.

```
data_Y2BeIN
_space_group_name_H-M_alt 'P 1'
_space_group_IT_number 1
_cell_length_a 5.204
_cell_length_b 5.204
_cell_length_c 3.443
_cell_angle_alpha 90.00
_cell_angle_beta 90.00
_cell_angle_gamma 90.00
loop_
_space_group_symop_operation_xyz
'x,y,z'
loop_
_atom_site_label
_atom_site_type_symbol
_atom_site_fract_x
_atom_site_fract_y
_atom_site_fract_z
Y1 Y 0.000 0.500 0.000
Y2 Y 0.500 0.000 0.000
Be1 Be 0.000 0.000 0.500
I1 I 0.500 0.500 0.500
N1 N 0.000 0.000 0.000
```

Entry 10:
# YBeI2N, optimized geometry, DFT GGA-PBE
data_YBeI2N
_space_group_name_H-M_alt 'P 1'
_space_group_IT_number 1
_cell_length_a 5.634
_cell_length_b 5.634
_cell_length_c 3.410
_cell_angle_alpha 90.00
_cell_angle_beta 90.00
_cell_angle_gamma 90.00
loop_
_space_group_symop_operation_xyz
'x,y,z'
loop_
_atom_site_label
_atom_site_type_symbol
_atom_site_fract_x
_atom_site_fract_y
_atom_site_fract_z
Y1 Y 0.000 0.000 0.000
Be1 Be 0.500 0.500 0.500
I1 I 0.000 0.500 0.500
I2 I 0.500 0.000 0.500
N1 N 0.500 0.500 0.000
# **Energy above the lowest structure with this stoichiometry**: 0.000 eV per atom

Entry 11:
# YBeI2N, optimized geometry, DFT GGA-PBE
data_YBeI2N
_space_group_name_H-M_alt 'P 1'
_space_group_IT_number 1
_cell_length_a 6.164
_cell_length_b 6.164
_cell_length_c 4.138
_cell_angle_alpha 90.00
_cell_angle_beta 90.00
_cell_angle_gamma 90.00
loop_
_space_group_symop_operation_xyz
'x,y,z'
loop_
_atom_site_label
_atom_site_type_symbol
_atom_site_fract_x
_atom_site_fract_y
_atom_site_fract_z
Y1 Y 0.000 0.000 0.000
Be1 Be 0.500 0.500 0.500
I1 I 0.000 0.500 0.000
I2 I 0.500 0.000 0.000
N1 N 0.000 0.000 0.500
# **Energy above the lowest structure with this stoichiometry**: 0.459 eV per atom

Entry 12:
# YBeIN2, optimized geometry, DFT GGA-PBE
data_YBeIN2
_space_group_name_H-M_alt 'P 1'
_space_group_IT_number 1
_cell_length_a 4.017
_cell_length_b 4.017
_cell_length_c 4.865
_cell_angle_alpha 90.00
_cell_angle_beta 90.00
_cell_angle_gamma 90.00
loop_
_space_group_symop_operation_xyz
'x,y,z'
loop_
_atom_site_label
_atom_site_type_symbol
_atom_site_fract_x
_atom_site_fract_y
_atom_site_fract_z
Y1 Y 0.000 0.000 0.000
Be1 Be 0.500 0.500 0.500
I1 I 0.500 0.500 0.000
N1 N 0.000 0.500 0.500
N2 N 0.500 0.000 0.500
# **Energy above the lowest structure with this stoichiometry**: 0.000 eV per atom

Entry 13:
# YBeIN2, optimized geometry, DFT GGA-PBE
data_YBeIN2
_space_group_name_H-M_alt 'P 1'
_space_group_IT_number 1
_cell_length_a 4.270
_cell_length_b 4.270
_cell_length_c 6.499
_cell_angle_alpha 90.00
_cell_angle_beta 90.00
_cell_angle_gamma 90.00
loop_
_space_group_symop_operation_xyz
'x,y,z'
loop_
_atom_site_label
_atom_site_type_symbol
_atom_site_fract_x
_atom_site_fract_y
_atom_site_fract_z
Y1 Y 0.000 0.000 0.000
Be1 Be 0.500 0.500 0.500
I1 I 0.000 0.000 0.500
N1 N 0.000 0.500 0.000
N2 N 0.500 0.000 0.000
# **Energy above the lowest structure with this stoichiometry**: 0.376 eV per atom

Entry 14:
# BeZnIN2, optimized geometry, DFT GGA-PBE
data_BeZnIN2
_space_group_name_H-M_alt 'P 1'
_space_group_IT_number 1
_cell_length_a 3.772
_cell_length_b 3.772
_cell_length_c 7.005
_cell_angle_alpha 90.00
_cell_angle_beta 90.00
_cell_angle_gamma 90.00
loop_
_space_group_symop_operation_xyz
'x,y,z'
loop_
_atom_site_label
_atom_site_type_symbol
_atom_site_fract_x
_atom_site_fract_y
_atom_site_fract_z
Be1 Be 0.000 0.000 0.000
Zn1 Zn 0.500 0.500 0.500
I1 I 0.500 0.500 0.000
N1 N 0.000 0.500 0.500
N2 N 0.500 0.000 0.500
# **Energy above the lowest structure with this stoichiometry**: 0.428 eV per atom

Entry 15:
# BeZnI2N, optimized geometry, DFT GGA-PBE
data_BeZnI2N
_space_group_name_H-M_alt 'P 1'
_space_group_IT_number 1
_cell_length_a 5.736
_cell_length_b 5.736
_cell_length_c 3.812
_cell_angle_alpha 90.00
_cell_angle_beta 90.00
_cell_angle_gamma 90.00
loop_
_space_group_symop_operation_xyz
'x,y,z'
loop_
_atom_site_label
_atom_site_type_symbol
_atom_site_fract_x
_atom_site_fract_y
_atom_site_fract_z
Be1 Be 0.000 0.000 0.000
Zn1 Zn 0.500 0.500 0.500
I1 I 0.000 0.500 0.500
I2 I 0.500 0.000 0.500
N1 N 0.500 0.500 0.000
# **Energy above the lowest structure with this stoichiometry**: 0.619 eV per atom

Density of states at the Fermi level in states/eV/cell, matching the order above: 3.74, 2.62, 2.47, 0.92, 4.69, 4.77, 2.01, 3.13, 6.12, 1.82, 6.96, 3.12, 3.28, 3.46, 1.92
V in Å³/atom, matching the order above: 18.77, 25.24, 27.29, 19.54, 13.55, 18.40, 17.92, 24.10, 18.65, 21.65, 31.45, 15.70, 23.70, 19.93, 25.08
Formation energy (no corrections) in kJ per mole of atoms, matching the order above: 84.7, 53.4, 194.7, 135.3, 194.3, 114.3, 76.8, 78.4, -49.6, -5.0, 39.2, 69.4, 105.7, 157.9, 98.7